{"formula": "Nd2ErPd2", "functional": "PBE-GGA", "state": "optimized geometry", "energy_ev_per_cell": -55.639, "cell": [[-2.999, 0.271, -2.762], [-5.293, -1.870, 5.563], [-0.895, 7.661, 1.723]], "species": ["Nd", "Nd", "Er", "Er", "Pd", "Nd", "Pd", "Pd", "Nd", "Pd"], "fractional_positions": [[0.500, 0.831, 0.331], [0.500, 0.169, 0.669], [0.000, 0.000, 0.000], [0.000, 0.500, 0.500], [0.000, 0.130, 0.370], [0.500, 0.669, 0.831], [0.000, 0.870, 0.630], [0.000, 0.370, 0.870], [0.500, 0.331, 0.169], [0.000, 0.630, 0.130]]}